Record 1
DFT (GGA+U) results for LiNiAsO4 after structural relaxation. Values from VASP.

```
&SYSTEM
  ibrav = 0, nat = 14, ntyp = 4
/
ATOMIC_SPECIES
Li 6.94 Li.upf
Ni 58.69 Ni.upf
As 74.92 As.upf
O 16.00 O.upf
CELL_PARAMETERS angstrom
-0.3252 1.6052 -5.5113
-5.2182 0.8767 -2.4358
-1.5680 5.4530 -1.3183
ATOMIC_POSITIONS crystal
Li 0.0000 0.0000 0.5000
Li 0.5000 0.0000 0.5000
Ni 0.5000 0.0000 0.0000
Ni 0.5000 0.5000 0.5000
As 0.1312 0.6188 0.1188
As 0.8688 0.3812 0.8812
O 0.7587 0.7462 0.2462
O 0.2489 0.7462 0.2462
O 0.2413 0.2538 0.7538
O 0.7511 0.2538 0.7538
O 0.2471 0.7438 0.7619
O 0.2471 0.2619 0.2438
O 0.7529 0.2562 0.2381
O 0.7529 0.7381 0.7562
```

The value obtained for the calculated density is 4.8 g cm⁻³. The symmetry is Imma, No. 74. Its spin magnetization is 4.0 μB/cell. Its density of states at the Fermi level is 0.00 states/eV per cell. Its total energy is -5.60 eV/atom.



Record 2
DFT (GGA+U) results for LiNi2AsO4 after structural relaxation. Values from VASP.

```
&SYSTEM
  ibrav = 0, nat = 16, ntyp = 4
/
ATOMIC_SPECIES
Li 6.94 Li.upf
Ni 58.69 Ni.upf
As 74.92 As.upf
O 16.00 O.upf
CELL_PARAMETERS angstrom
6.0502 0.1027 0.0009
0.0985 6.0503 0.0009
-3.0524 -3.0545 4.3493
ATOMIC_POSITIONS crystal
Li 0.0000 0.5000 0.0000
Li 0.0000 0.5000 0.5000
Ni 0.5000 0.0000 0.0000
Ni 0.5000 0.0000 0.5000
Ni 0.0000 0.0000 0.5000
Ni 0.5000 0.5000 0.0000
As 0.5000 0.5000 0.5000
As 0.0000 0.0000 0.0000
O 0.2634 0.7626 0.0130
O 0.7374 0.2366 0.4870
O 0.2626 0.7634 0.5130
O 0.7366 0.2374 0.9870
O 0.7507 0.7493 0.0076
O 0.7507 0.7493 0.4924
O 0.2493 0.2507 0.5076
O 0.2493 0.2507 0.9924
```

The value obtained for the calculated density is 5.5 g cm⁻³. The symmetry is Imma, No. 74. Its spin magnetization is 8.0 μB/cell. Its total energy is -5.08 eV/atom.